Compound: VCl2O
Source: Alexandria
Functional: PBE+U
Structure: optimized geometry

Unit cell a=13.6188 b=3.7361 c=6.9996 alpha=90.00 beta=104.90 gamma=90.00
Closest atoms and distances in Å follow each position.
Space group C2/c (No. 15)
One atom of each set of equivalent atoms:
V (0.0000, 0.0587, 0.2500) x4  1 O 1.69
Cl (0.1257, 0.0001, 0.0628) x8  2 V 2.42
O (0.0000, 0.4891, 0.7500) x4  1 V 1.69

Values from the calculation:
Magnetization   0.2402 μB per atom
E_tot   -5.403 eV per atom